OsS2 | OQMD via LeMat-Bulk | PBE | relaxed; total magnetization = 0.1 μB/cell; E_tot = -4.5551 eV/atom; space-group type = Fd-3m (227)
1.0
0.000 3.516 3.516
3.516 0.000 3.516
3.516 3.516 0.000
Os S
2 4
direct
0.125 0.125 0.125
0.875 0.875 0.875
0.000 0.500 0.500
0.500 0.000 0.500
0.500 0.500 0.000
0.500 0.500 0.500